# 1
The following is a DFT calculation (PBE) of crystalline CuAs3 at its relaxed geometry.

Computed properties:
Density (g/cm³): 6.7
SG: P4/mmm
DFT formation energy (eV/atom): 0.292
Volume (Å³/atom): 17.86
Polymorph energy (0 for the lowest one) (meV per atom): 146.8
E_tot (eV per cell): -16.88
Spin magnetization (μB/cell): 0.00

abc: 2.7869 2.7869 9.1961
angles: 90.00 90.00 90.02
Fractional coordinates of all 4 atoms:
Cu 0.5000 0.5000 0.2500
As 0.5000 0.5000 0.7500
As 0.0000 0.0000 0.4543
As 0.0000 0.0000 0.0457

=====

# 2
The following is a DFT calculation (PBE) of crystalline CuAs3 at its relaxed geometry.

Computed properties:
Density (g/cm³): 6.7
SG: P-6m2
DFT formation energy (eV/atom): 0.351
Volume (Å³/atom): 17.79
Polymorph energy (0 for the lowest one) (meV per atom): 206.0
E_tot (eV per cell): -16.64
Spin magnetization (μB/cell): 0.00

abc: 2.9052 2.9052 9.7340
angles: 90.00 90.00 120.00
Fractional coordinates of all 4 atoms:
As 0.0000 0.0000 0.9604
As 0.0000 0.0000 0.5396
Cu 0.6667 0.3333 0.7500
As 0.6667 0.3333 0.2500